BaMo2W (GGA-PBE, relaxed); crystal system = trigonal; formation enthalpy at 0 K = 987 meV per atom
1.0
1.570 0.907 9.888
-1.570 0.907 9.888
0.000 -1.813 9.888
Ba Mo W
1 2 1
direct
0.000 0.000 0.000
0.232 0.232 0.232
0.768 0.768 0.768
0.500 0.500 0.500


Ba2Mo2W (GGA-PBE, relaxed); crystal system = tetragonal; formation enthalpy at 0 K = 1406 meV per atom
1.0
-1.746 1.746 11.511
1.746 -1.746 11.511
1.746 1.746 -11.511
Ba Mo W
2 2 1
direct
0.106 0.106 0.000
0.894 0.894 0.000
0.250 0.750 0.500
0.750 0.250 0.500
0.500 0.500 0.000


BaMo2W (GGA-PBE, relaxed); crystal system = cubic; formation enthalpy at 0 K = 1388 meV per atom
1.0
0.000 3.384 3.384
3.384 0.000 3.384
3.384 3.384 0.000
Ba Mo W
1 2 1
direct
0.000 0.000 0.000
0.500 0.500 0.500
0.750 0.750 0.750
0.250 0.250 0.250


BaMoW (GGA-PBE, relaxed); crystal system = hexagonal; formation enthalpy at 0 K = 1085 meV per atom
1.0
4.207 0.000 0.000
-2.103 3.643 0.000
0.000 0.000 5.652
Ba Mo W
1 1 1
direct
0.000 0.000 0.000
0.333 0.667 0.500
0.667 0.333 0.500


The ΔE to the lowest computed polymorph results, record by record, are as follows: 0.84, 0.00, 2.45, 0.67 eV/f.u..
The ρ results, record by record, are as follows: 10.09, 7.69, 11.00, 7.99 Mg/m³.